Entry 1:
5
Lattice="4.9754 0.0000 0.0000 0.0000 4.9754 0.0000 0.0000 0.0000 5.0695" Properties=species:S:1:pos:R:3 comment="TaCoAsSe2 (PBE, optimized geometry)" e_tot_ry_per_atom=-0.4024 total_magnetization_mub_per_fu=2.6 pbc="T T T"
Ta 0.0000 0.0000 0.0000
Co 2.4877 2.4877 2.5348
As 0.0000 0.0000 2.5348
Se 0.0000 2.4877 0.0000
Se 2.4877 0.0000 0.0000

***

Entry 2:
5
Lattice="4.4329 0.0000 0.0000 0.0000 4.4329 0.0000 0.0000 0.0000 4.8023" Properties=species:S:1:pos:R:3 comment="CoTcAs2Se (PBE, optimized geometry)" e_tot_ry_per_atom=-0.3869 total_magnetization_mub_per_fu=2.0 pbc="T T T"
Co 0.0000 0.0000 0.0000
Tc 2.2164 2.2164 2.4011
As 0.0000 2.2164 0.0000
As 2.2164 0.0000 0.0000
Se 0.0000 0.0000 2.4011

***

Entry 3:
5
Lattice="4.5025 0.0000 0.0000 0.0000 4.5025 0.0000 0.0000 0.0000 5.1611" Properties=species:S:1:pos:R:3 comment="CoTeAs2Se (PBE, optimized geometry)" e_tot_ry_per_atom=-0.3136 total_magnetization_mub_per_fu=0.0 pbc="T T T"
Co 0.0000 0.0000 0.0000
Te 2.2513 2.2513 2.5806
As 0.0000 2.2513 0.0000
As 2.2513 0.0000 0.0000
Se 0.0000 0.0000 2.5806